Compound: Dy2HgOs
Source: Alexandria
Functional: PBE-GGA
Structure: optimized geometry

Cell: 5.014 5.014 5.014 Å, 60.00 60.00 60.00°
Atoms (fractional coordinates):
Dy 0.250 0.250 0.250
Dy 0.750 0.750 0.750
Hg 0.000 0.000 0.000
Os 0.500 0.500 0.500

Calculated values
DFT formation energy: -102 kJ/mol of formula units
Symmetry: Fm-3m (225)
Energy above the most stable polymorph in this dataset: 119 meV per atom
Mass density: 13.3 g cm⁻³

Compound: Ba2Pt2Cl
Source: Alexandria
Functional: PBE-GGA
Structure: optimized geometry

Cell: 6.000 6.000 6.094 Å, 60.51 60.51 90.00°
Atoms (fractional coordinates):
Pt 0.354 0.354 0.293
Pt 0.646 0.646 0.707
Ba 0.250 0.750 0.500
Ba 0.750 0.250 0.500
Cl 0.000 0.000 0.000

Calculated values
Symmetry: I4/mmm (139)
DFT total energy: -4.390 eV/atom
Mass density: 7.4 g cm⁻³

Compound: Sr2CaCu
Source: Alexandria
Functional: PBE-GGA
Structure: optimized geometry

Cell: 4.270 4.270 10.748 Å, 78.54 78.54 60.00°
Atoms (fractional coordinates):
Sr 0.275 0.275 0.176
Sr 0.058 0.058 0.825
Ca 0.500 0.500 0.499
Cu 0.666 0.666 0.001

Calculated values
DFT formation energy: 22 kJ/mol of formula units
Symmetry: R3m (160)
Energy above the most stable polymorph in this dataset: 80 meV per atom
Mass density: 2.8 g cm⁻³

Compound: NaGe2AsSe6
Source: Alexandria
Functional: PBE-GGA
Structure: optimized geometry

Cell: 7.511 9.193 9.193 Å, 76.47 70.55 70.55°
Atoms (fractional coordinates):
Se 0.884 0.365 0.947
Se 0.110 0.688 0.618
Se 0.390 0.382 0.312
Se 0.890 0.312 0.382
Se 0.383 0.186 0.993
Se 0.617 0.814 0.007
Se 0.883 0.993 0.186
Se 0.116 0.635 0.053
Se 0.384 0.947 0.365
Se 0.616 0.053 0.635
Se 0.610 0.618 0.688
Se 0.117 0.007 0.814
As 0.250 0.231 0.769
As 0.750 0.769 0.231
Na 0.750 0.257 0.743
Na 0.250 0.743 0.257
Ge 0.167 0.370 0.170
Ge 0.833 0.630 0.830
Ge 0.333 0.830 0.630
Ge 0.667 0.170 0.370

Calculated values
Symmetry: C2/c (15)
DFT total energy: -3.915 eV/atom
Mass density: 4.3 g cm⁻³

Compound: K2CdGa3F12
Source: Alexandria
Functional: PBE-GGA
Structure: optimized geometry

Cell: 7.313 7.313 7.313 Å, 61.53 61.53 61.53°
Atoms (fractional coordinates):
Ga 0.000 0.500 0.000
Ga 0.000 0.000 0.500
Ga 0.500 0.000 0.000
K 0.373 0.373 0.373
K 0.627 0.627 0.627
F 0.414 0.884 0.884
F 0.289 0.902 0.289
F 0.711 0.711 0.098
F 0.884 0.884 0.414
F 0.711 0.098 0.711
F 0.116 0.116 0.586
F 0.884 0.414 0.884
F 0.289 0.289 0.902
F 0.116 0.586 0.116
F 0.586 0.116 0.116
F 0.098 0.711 0.711
F 0.902 0.289 0.289
Cd 0.000 0.000 0.000

Calculated values
Symmetry: R-3m (166)
DFT total energy: -4.468 eV/atom
Mass density: 3.6 g cm⁻³

Compound: LiSmSc2Tl4
Source: Alexandria
Functional: PBE-GGA
Structure: optimized geometry

Cell: 5.120 5.120 9.129 Å, 73.72 73.72 60.00°
Atoms (fractional coordinates):
Sc 0.247 0.247 0.260
Sc 0.753 0.753 0.740
Tl 0.129 0.129 0.612
Tl 0.871 0.871 0.388
Tl 0.619 0.619 0.142
Tl 0.381 0.381 0.858
Sm 0.000 0.000 0.000
Li 0.500 0.500 0.500

Calculated values
DFT formation energy: -215 kJ/mol of formula units
Symmetry: R-3m (166)
Mass density: 9.0 g cm⁻³

Compound: Gd3Lu2Ga3O12
Source: Alexandria
Functional: PBE-GGA
Structure: optimized geometry

Cell: 11.126 11.126 11.126 Å, 109.47 109.47 109.47°
Atoms (fractional coordinates):
Gd 0.375 0.750 0.125
Gd 0.750 0.625 0.875
Gd 0.125 0.375 0.750
Gd 0.875 0.750 0.625
Gd 0.625 0.875 0.750
Gd 0.250 0.875 0.625
Gd 0.625 0.250 0.875
Gd 0.250 0.375 0.125
Gd 0.750 0.125 0.375
Gd 0.875 0.625 0.250
Gd 0.375 0.125 0.250
Gd 0.125 0.250 0.375
O 0.598 0.912 0.128
O 0.902 0.372 0.588
O 0.970 0.686 0.098
O 0.530 0.402 0.814
O 0.717 0.530 0.628
O 0.412 0.098 0.628
O 0.814 0.530 0.402
O 0.088 0.872 0.402
O 0.470 0.372 0.283
O 0.283 0.314 0.912
O 0.783 0.872 0.970
O 0.372 0.283 0.470
O 0.128 0.598 0.912
O 0.717 0.686 0.088
O 0.098 0.628 0.412
O 0.686 0.088 0.717
O 0.588 0.186 0.217
O 0.217 0.128 0.030
O 0.186 0.470 0.598
O 0.783 0.412 0.814
O 0.030 0.314 0.902
O 0.314 0.902 0.030
O 0.470 0.598 0.186
O 0.402 0.088 0.872
O 0.402 0.814 0.530
O 0.686 0.098 0.970
O 0.588 0.902 0.372
O 0.088 0.717 0.686
O 0.872 0.970 0.783
O 0.030 0.217 0.128
O 0.217 0.588 0.186
O 0.314 0.912 0.283
O 0.098 0.970 0.686
O 0.128 0.030 0.217
O 0.530 0.628 0.717
O 0.283 0.470 0.372
O 0.970 0.783 0.872
O 0.186 0.217 0.588
O 0.412 0.814 0.783
O 0.598 0.186 0.470
O 0.628 0.717 0.530
O 0.912 0.128 0.598
O 0.872 0.402 0.088
O 0.912 0.283 0.314
O 0.372 0.588 0.902
O 0.628 0.412 0.098
O 0.902 0.030 0.314
O 0.814 0.783 0.412
Ga 0.875 0.250 0.125
Ga 0.375 0.250 0.625
Ga 0.750 0.875 0.125
Ga 0.250 0.625 0.375
Ga 0.125 0.875 0.250
Ga 0.625 0.750 0.375
Ga 0.250 0.125 0.875
Ga 0.375 0.625 0.750
Ga 0.750 0.375 0.625
Ga 0.125 0.750 0.875
Ga 0.625 0.375 0.250
Ga 0.875 0.125 0.750
Lu 0.000 0.000 0.000
Lu 0.500 0.000 0.500
Lu 0.500 0.500 0.500
Lu 0.000 0.500 0.500
Lu 0.000 0.000 0.500
Lu 0.500 0.000 0.000
Lu 0.500 0.500 0.000
Lu 0.000 0.500 0.000

Calculated values
Symmetry: Ia-3d (230)
DFT total energy: -8.963 eV/atom
Mass density: 7.7 g cm⁻³

Compound: EuZnGe
Source: Alexandria
Functional: PBE-GGA
Structure: optimized geometry

Cell: 6.082 6.082 6.082 Å, 137.86 103.07 91.85°
Atoms (fractional coordinates):
Eu 0.500 0.500 0.000
Eu 0.000 0.000 0.000
Ge 0.091 0.750 0.341
Ge 0.909 0.250 0.659
Zn 0.422 0.750 0.672
Zn 0.578 0.250 0.328

Calculated values
DFT formation energy: -134 kJ/mol of formula units
Symmetry: Imma (74)
Mass density: 6.9 g cm⁻³